No. 1
## Pr2FeMoO6 (PBE with a Hubbard U)

Data for a relaxed structure of Pr2FeMoO6.

- E_tot (eV per atom) = -7.71

Structure (CIF):
```
data_Pr2FeMoO6
_cell_length_a 5.6047
_cell_length_b 5.9084
_cell_length_c 9.7262
_cell_angle_alpha 90.00
_cell_angle_beta 124.50
_cell_angle_gamma 90.00
_symmetry_space_group_name_H-M 'P 1 21/c 1'
_symmetry_Int_Tables_number 14
loop_
_symmetry_equiv_pos_as_xyz
'x,y,z'
'-x,-y,-z'
'-x,y+1/2,-z+1/2'
'x,-y+1/2,z+1/2'
loop_
_atom_site_label
_atom_site_type_symbol
_atom_site_fract_x
_atom_site_fract_y
_atom_site_fract_z
Pr1 Pr 0.2332 0.0666 0.2489
Fe1 Fe 0.0000 0.0000 0.5000
Mo1 Mo 0.5000 0.0000 0.0000
O1 O 0.1490 0.1854 0.9473
O2 O 0.2624 0.7074 0.9446
O3 O 0.3547 0.0376 0.7460
```

No. 2
## FeSbMoO6 (PBE with a Hubbard U)

Data for a relaxed structure of FeSbMoO6.

- E_tot (eV per atom) = -6.72

Structure (CIF):
```
data_FeSbMoO6
_cell_length_a 4.7198
_cell_length_b 4.7198
_cell_length_c 9.5522
_cell_angle_alpha 90.00
_cell_angle_beta 90.00
_cell_angle_gamma 90.00
_symmetry_space_group_name_H-M 'P 42 n m'
_symmetry_Int_Tables_number 102
loop_
_symmetry_equiv_pos_as_xyz
'x,y,z'
'-y+1/2,x+1/2,z+1/2'
'-x,-y,z'
'y+1/2,-x+1/2,z+1/2'
'-x+1/2,y+1/2,z+1/2'
'y,x,z'
'x+1/2,-y+1/2,z+1/2'
'-y,-x,z'
loop_
_atom_site_label
_atom_site_type_symbol
_atom_site_fract_x
_atom_site_fract_y
_atom_site_fract_z
Fe1 Fe 0.0000 0.0000 0.0000
Sb1 Sb 0.0000 0.0000 0.6650
Mo1 Mo 0.0000 0.0000 0.3329
O1 O 0.1890 0.1890 0.4971
O2 O 0.2018 0.2018 0.1722
O3 O 0.2061 0.2061 0.8223
```

No. 3
## Sr3FeMoO7 (PBE with a Hubbard U)

Data for a relaxed structure of Sr3FeMoO7.

- E_tot (eV per atom) = -6.67

Structure (CIF):
```
data_Sr3FeMoO7
_cell_length_a 4.0330
_cell_length_b 4.0330
_cell_length_c 20.7731
_cell_angle_alpha 90.00
_cell_angle_beta 90.00
_cell_angle_gamma 90.00
_symmetry_space_group_name_H-M 'I 4 m m'
_symmetry_Int_Tables_number 107
_symmetry_space_group_name_Hall 'I 4 -2'
loop_
_atom_site_label
_atom_site_type_symbol
_atom_site_fract_x
_atom_site_fract_y
_atom_site_fract_z
Sr1 Sr 0.0000 0.0000 0.0000
Sr2 Sr 0.0000 0.0000 0.1670
Sr3 Sr 0.0000 0.0000 0.3672
Fe1 Fe 0.0000 0.0000 0.5764
Mo1 Mo 0.0000 0.0000 0.7793
O1 O 0.0000 0.0000 0.4818
O2 O 0.0000 0.0000 0.6894
O3 O 0.0000 0.0000 0.8750
O4 O 0.0000 0.5000 0.0871
O5 O 0.0000 0.5000 0.2828
```

No. 4
## SrFeMoO5 (PBE with a Hubbard U)

Data for a relaxed structure of SrFeMoO5.

- E_tot (eV per atom) = -6.75

Structure (CIF):
```
data_SrFeMoO5
_cell_length_a 4.8450
_cell_length_b 4.9364
_cell_length_c 6.0160
_cell_angle_alpha 112.30
_cell_angle_beta 108.90
_cell_angle_gamma 93.13
_symmetry_space_group_name_H-M 'P 1'
_symmetry_Int_Tables_number 1
loop_
_symmetry_equiv_pos_as_xyz
'x,y,z'
loop_
_atom_site_label
_atom_site_type_symbol
_atom_site_fract_x
_atom_site_fract_y
_atom_site_fract_z
Sr1 Sr 0.0000 0.0000 0.0000
Fe1 Fe 0.2979 0.4121 0.6280
Mo1 Mo 0.6590 0.7815 0.3780
O1 O 0.3427 0.4726 0.3027
O2 O 0.4884 0.7109 0.0093
O3 O 0.5951 0.0824 0.6363
O4 O 0.9247 0.6272 0.5668
O5 O 0.9875 0.0345 0.3951
```

No. 5
## Sr2FeMoO6 (PBE with a Hubbard U)

Data for a relaxed structure of Sr2FeMoO6.

- E_tot (eV per atom) = -6.81

Structure (CIF):
```
data_Sr2FeMoO6
_cell_length_a 5.7037
_cell_length_b 5.7037
_cell_length_c 7.9070
_cell_angle_alpha 90.00
_cell_angle_beta 90.00
_cell_angle_gamma 90.00
_symmetry_space_group_name_H-M 'I 4/m m m'
_symmetry_Int_Tables_number 139
_symmetry_space_group_name_Hall '-I 4 2'
loop_
_atom_site_label
_atom_site_type_symbol
_atom_site_fract_x
_atom_site_fract_y
_atom_site_fract_z
Sr1 Sr 0.0000 0.5000 0.2500
Fe1 Fe 0.0000 0.0000 0.0000
Mo1 Mo 0.0000 0.0000 0.5000
O1 O 0.0000 0.0000 0.2560
O2 O 0.2496 0.2496 0.0000
```

No. 6
## Sr2FeMoO6 (PBE with a Hubbard U)

Data for a relaxed structure of Sr2FeMoO6.

- E_tot (eV per atom) = -6.82

Structure (CIF):
```
data_Sr2FeMoO6
_cell_length_a 5.7091
_cell_length_b 5.6957
_cell_length_c 9.7181
_cell_angle_alpha 90.00
_cell_angle_beta 125.76
_cell_angle_gamma 90.00
_symmetry_space_group_name_H-M 'P 1 21/c 1'
_symmetry_Int_Tables_number 14
loop_
_symmetry_equiv_pos_as_xyz
'x,y,z'
'-x,-y,-z'
'-x,y+1/2,-z+1/2'
'x,-y+1/2,z+1/2'
loop_
_atom_site_label
_atom_site_type_symbol
_atom_site_fract_x
_atom_site_fract_y
_atom_site_fract_z
Sr1 Sr 0.2437 0.0124 0.2497
Fe1 Fe 0.0000 0.0000 0.5000
Mo1 Mo 0.5000 0.0000 0.0000
O1 O 0.2047 0.2351 0.9708
O2 O 0.2346 0.7342 0.9704
O3 O 0.3114 0.0040 0.7573
```

No. 7
## Sr5FeMo4O15 (PBE with a Hubbard U)

Data for a relaxed structure of Sr5FeMo4O15.

- E_tot (eV per atom) = -6.90

Structure (CIF):
```
data_Sr5FeMo4O15
_cell_length_a 17.1899
_cell_length_b 5.7569
_cell_length_c 7.0150
_cell_angle_alpha 90.00
_cell_angle_beta 105.75
_cell_angle_gamma 90.00
_symmetry_space_group_name_H-M 'C 1 2/m 1'
_symmetry_Int_Tables_number 12
loop_
_symmetry_equiv_pos_as_xyz
'x,y,z'
'-x,-y,-z'
'-x,y,-z'
'x,-y,z'
'x+1/2,y+1/2,z'
'-x+1/2,-y+1/2,-z'
'-x+1/2,y+1/2,-z'
'x+1/2,-y+1/2,z'
loop_
_atom_site_label
_atom_site_type_symbol
_atom_site_fract_x
_atom_site_fract_y
_atom_site_fract_z
Sr1 Sr 0.0000 0.0000 0.0000
Sr2 Sr 0.0943 0.5000 0.4078
Sr3 Sr 0.1904 0.0000 0.7841
Fe1 Fe 0.0000 0.0000 0.5000
Mo1 Mo 0.0994 0.5000 0.9011
Mo2 Mo 0.1985 0.0000 0.2988
O1 O 0.0000 0.5000 0.0000
O2 O 0.0488 0.2495 0.7044
O3 O 0.1002 0.0000 0.4133
O4 O 0.1477 0.2461 0.1026
O5 O 0.1967 0.5000 0.8055
O6 O 0.2500 0.2500 0.5000
```

No. 8
## Sr3Fe2MoO8 (PBE with a Hubbard U)

Data for a relaxed structure of Sr3Fe2MoO8.

- E_tot (eV per atom) = -6.61

Structure (CIF):
```
data_Sr3Fe2MoO8
_cell_length_a 5.7271
_cell_length_b 5.7271
_cell_length_c 7.2597
_cell_angle_alpha 90.00
_cell_angle_beta 90.00
_cell_angle_gamma 120.00
_symmetry_space_group_name_H-M 'P -3 m 1'
_symmetry_Int_Tables_number 164
_symmetry_space_group_name_Hall '-P 3 2"'
loop_
_atom_site_label
_atom_site_type_symbol
_atom_site_fract_x
_atom_site_fract_y
_atom_site_fract_z
Sr1 Sr 0.0000 0.0000 0.0000
Sr2 Sr 0.3333 0.6667 0.6424
Fe1 Fe 0.3333 0.6667 0.2045
Mo1 Mo 0.0000 0.0000 0.5000
O1 O 0.1627 0.3255 0.3268
O2 O 0.3333 0.6667 0.9568
```

Which of these has the highest E_tot?
Sr3Fe2MoO8

E_tot of number 3 (Sr3FeMoO7)?
-6.67 eV per atom

Please write out number 5 again, unchanged.
## Sr2FeMoO6 (PBE with a Hubbard U)

Data for a relaxed structure of Sr2FeMoO6.

- E_tot (eV per atom) = -6.81

Structure (CIF):
```
data_Sr2FeMoO6
_cell_length_a 5.7037
_cell_length_b 5.7037
_cell_length_c 7.9070
_cell_angle_alpha 90.00
_cell_angle_beta 90.00
_cell_angle_gamma 90.00
_symmetry_space_group_name_H-M 'I 4/m m m'
_symmetry_Int_Tables_number 139
_symmetry_space_group_name_Hall '-I 4 2'
loop_
_atom_site_label
_atom_site_type_symbol
_atom_site_fract_x
_atom_site_fract_y
_atom_site_fract_z
Sr1 Sr 0.0000 0.5000 0.2500
Fe1 Fe 0.0000 0.0000 0.0000
Mo1 Mo 0.0000 0.0000 0.5000
O1 O 0.0000 0.0000 0.2560
O2 O 0.2496 0.2496 0.0000
```

Among the records above, which one has the highest E_tot?
Sr3Fe2MoO8